(1)
Computed, not measured: an optimized crystal structure of GaHg2Rh at the PBE-GGA level of DFT.

a b c (Å): 7.7147 7.7147 5.4598
angles (deg): 90.00 90.00 90.00
Last column: nearest neighbours and their distance in Å.
Space group I-42d (No. 122)
Symmetry-distinct sites (fractional):
Ga  0.0000  0.0000  0.0000 x4  2 Rh 2.73, 4 Hg 2.85
Hg  0.2422  0.2500  0.6250 x8  2 Hg 2.73, 2 Rh 2.77, 2 Ga 2.85
Rh  0.0000  0.0000  0.5000 x4  2 Ga 2.73, 4 Hg 2.77

Output
Total energy   -2.511 eV/atom
DFT formation energy   0.94 eV/f.u.
Fermi-level density of states   10.54 states/eV/cell



(2)
Computed, not measured: an optimized crystal structure of GaHg3Rh at the PBE-GGA level of DFT.

a b c (Å): 5.2429 5.2429 5.2429
angles (deg): 90.00 90.00 90.00
Last column: nearest neighbours and their distance in Å.
Space group Pm-3m (No. 221)
Symmetry-distinct sites (fractional):
Ga  0.0000  0.0000  0.0000 x1  12 Hg 3.71
Hg  0.0000  0.5000  0.5000 x3  2 Rh 2.62
Rh  0.5000  0.5000  0.5000 x1  6 Hg 2.62

Output
Total energy   -1.992 eV/atom
DFT formation energy   1.33 eV/f.u.
Fermi-level density of states   2.08 states/eV/cell
E above lowest polymorph   0.000 eV/atom